# Mn2CrAsO6 PBE with a Hubbard U optimized geometry
data_Mn2CrAsO6
_symmetry_space_group_name_H-M 'P 1'
_symmetry_Int_Tables_number 1
_symmetry_space_group_name_Hall 'P 1'
_cell_length_a 5.1344
_cell_length_b 5.1948
_cell_length_c 5.5328
_cell_angle_alpha 62.48
_cell_angle_beta 89.99
_cell_angle_gamma 62.65
loop_
_atom_site_label
_atom_site_type_symbol
_atom_site_fract_x
_atom_site_fract_y
_atom_site_fract_z
Mn1 Mn 0.0000 0.0000 0.0000
Mn2 Mn 0.4995 0.0156 0.4553
Cr1 Cr 0.7966 0.4120 0.3698
As1 As 0.2626 0.4641 0.8363
O1 O 0.0796 0.5155 0.1318
O2 O 0.1990 0.9103 0.6544
O3 O 0.4306 0.8715 0.2003
O4 O 0.5976 0.2100 0.6510
O5 O 0.6865 0.2334 0.1728
O6 O 0.9200 0.5220 0.6521
# M_tot: 1.10 μB/atom
# total DFT energy (no corrections): -7.156 eV per atom